The following is a DFT calculation (GGA-PBE) of a relaxed Er2UPaC4 crystal.

a b c (Å): 6.081 3.599 6.223
angles (deg): 90.00 109.90 90.00
Element x y z (fractional)
Er  0.000  0.000  0.000
Er  0.000  0.500  0.500
U  0.500  0.000  0.500
Pa  0.500  0.500  0.000
C  0.276  0.000  0.748
C  0.279  0.500  0.268
C  0.721  0.500  0.732
C  0.724  0.000  0.252

Computed properties:
Energy of formation from the pure elements: -8.5 kcal/mol of atoms
Fermi-level density of states: 0.499 states/eV per atom
Density: 11.04 g cm⁻³
V: 16.0 Å³ per atom